[1]
The following is a DFT calculation (PBE) of Sm3ErCd3 after structural relaxation.

The density comes out at 7.7 g/cm³. The value obtained for the raw total energy is -3.210 eV per atom. Its formation energy from the elements is -1.005 eV/f.u. The size of the total moment is 3.8 Bohr magnetons per cell. The volume comes out at 29.395 Å³ per atom.

It has space group Cmmm (No. 65), with a = 10.634 Å, b = 10.904 Å, c = 7.098 Å, α = 90.00°, β = 90.00° and γ = 90.00°. Symmetry generates all atoms from Sm at (0.000, 0.245, 0.000), Sm at (0.233, 0.000, 0.000), Sm at (0.233, 0.000, 0.500), Er at (0.000, 0.249, 0.500), Cd at (0.000, 0.500, 0.252) and Cd at (0.250, 0.250, 0.255).

---

[2]
The following is a DFT calculation (PBE) of Sm2ErCd after structural relaxation.

The density comes out at 8.2 g/cm³. The value obtained for the raw total energy is -3.771 eV per atom. Its formation energy from the elements is -0.169 eV/f.u. The size of the total moment is 0.0 Bohr magnetons per cell. The volume comes out at 29.398 Å³ per atom.

It has space group Fm-3m (No. 225), with a = 7.777 Å, b = 7.777 Å, c = 7.777 Å, α = 90.00°, β = 90.00° and γ = 90.00°. Symmetry generates all atoms from Sm at (0.250, 0.250, 0.250), Er at (0.000, 0.000, 0.000) and Cd at (0.000, 0.000, 0.500).

---

[3]
The following is a DFT calculation (PBE) of SmEr2Cd after structural relaxation.

The density comes out at 8.3 g/cm³. The value obtained for the raw total energy is -3.748 eV per atom. Its formation energy from the elements is -0.233 eV/f.u. The size of the total moment is 0.0 Bohr magnetons per cell. The volume comes out at 29.911 Å³ per atom.

It has space group R3m (No. 160, hexagonal axes), with a = 3.5931 Å, b = 3.5931 Å, c = 32.1018 Å, α = 90.00°, β = 90.00° and γ = 120.00°. Symmetry generates all atoms from Sm at (0.0000, 0.0000, 0.0000), Er at (0.0000, 0.0000, 0.2432), Er at (0.0000, 0.0000, 0.4235) and Cd at (0.0000, 0.0000, 0.8336).